(1)
ScTlBr2 | GGA-PBE | relaxed

a b c (Å): 3.6363 3.6363 31.8069
angles (deg): 90.00 90.00 120.00
Space group R-3m (No. 166, hexagonal axes)
One atom of each set of equivalent atoms:
1 Sc 0.0000 0.0000 0.0000
2 Tl 0.0000 0.0000 0.5000
3 Br 0.0000 0.0000 0.3884

## Properties
Energy above the lowest structure with this stoichiometry   0.0 meV per atom
Formation energy without anion corrections   -100.0 kJ per mole of atoms

***

(2)
Nd2Dy3ThS6 | GGA-PBE | relaxed

a b c (Å): 17.455 3.960 8.018
angles (deg): 90.00 104.62 90.00
Space group C2/m (No. 12)
One atom of each set of equivalent atoms:
1 Nd 0.165 0.000 0.330
2 Dy 0.000 0.500 0.500
3 Dy 0.167 0.000 0.835
4 Th 0.000 0.500 0.000
5 S 0.004 0.000 0.742
6 S 0.164 0.500 0.592
7 S 0.170 0.500 0.074

## Properties
Formation energy without anion corrections   -190.3 kJ per mole of atoms

***

(3)
NdEr3Th | GGA-PBE | relaxed

a b c (Å): 5.551 10.862 6.383
angles (deg): 90.00 115.40 90.00
Space group P2_1/m (No. 11)
One atom of each set of equivalent atoms:
1 Nd 0.153 0.250 0.274
2 Er 0.342 0.011 0.693
3 Er 0.470 0.750 0.975
4 Th 0.164 0.750 0.342

## Properties
Energy above the lowest structure with this stoichiometry   360.5 meV per atom
Formation energy from the elements   38 kJ per mole of atoms

***

(4)
BaSmHgAu | GGA-PBE | relaxed

a b c (Å): 7.833 7.833 7.833
angles (deg): 90.00 90.00 90.00
Space group F-43m (No. 216)
One atom of each set of equivalent atoms:
1 Ba 0.000 0.000 0.000
2 Sm 0.000 0.000 0.500
3 Hg 0.250 0.250 0.750
4 Au 0.250 0.250 0.250

## Properties
Formation energy from the elements   -45 kJ per mole of atoms

***

(5)
Ca2TlN | GGA-PBE | relaxed

a b c (Å): 7.095 7.095 8.670
angles (deg): 90.00 90.00 90.00
Space group I-42d (No. 122)
One atom of each set of equivalent atoms:
1 Ca 0.126 0.250 0.125
2 Tl 0.000 0.000 0.500
3 N 0.000 0.000 0.000

## Properties
Formation energy without anion corrections   -37.9 kJ per mole of atoms

***

(6)
CeNb2BC4 | GGA-PBE | relaxed

a b c (Å): 3.186 10.665 10.715
angles (deg): 90.00 90.00 90.00
Space group Cmcm (No. 63)
One atom of each set of equivalent atoms:
1 Ce 0.000 0.095 0.250
2 Nb 0.000 0.366 0.047
3 B 0.000 0.177 0.750
4 C 0.000 0.000 0.000
5 C 0.000 0.268 0.625
6 C 0.000 0.413 0.250

## Properties
Formation energy from the elements   -22 kJ per mole of atoms

***

(7)
Pm3Tm2Hg6 | GGA-PBE | relaxed

a b c (Å): 5.139 5.139 26.563
angles (deg): 90.00 90.00 90.00
Space group I4/mmm (No. 139)
One atom of each set of equivalent atoms:
1 Pm 0.000 0.000 0.000
2 Pm 0.000 0.000 0.148
3 Tm 0.000 0.000 0.380
4 Hg 0.000 0.000 0.267
5 Hg 0.000 0.500 0.067

## Properties
Formation energy from the elements   -11 kJ per mole of atoms

***

(8)
Hf2NbV | GGA-PBE | relaxed

a b c (Å): 4.755 4.755 3.417
angles (deg): 90.00 90.00 90.00
Space group P4/mmm (No. 123)
One atom of each set of equivalent atoms:
1 Hf 0.000 0.500 0.000
2 Nb 0.000 0.000 0.500
3 V 0.500 0.500 0.500

## Properties
Energy above the lowest structure with this stoichiometry   13.1 meV per atom
Formation energy from the elements   14 kJ per mole of atoms

***

Which density belongs to each record? In order, 5.6; 7.4; 8.4; 9.5; 4.5; 7.0; 9.4; 10.8 Mg/m³.